Density functional theory data (GGA-PBE) for a relaxed structure of Y2Tm6Ni.

Values from the calculation:
N(E_F) = 10.5 states/eV/f.u.
crystal system = triclinic
size of the total moment = 0.000 μB/cell

a b c (Å): 3.5372 9.0239 9.1257
angles (deg): 68.16 89.96 89.88
With the nearest neighbours (Å) after each atom.
Space group P-1 (No. 2)
Asymmetric unit:
Y1 0.9997 0.1876 0.1479 (multiplicity 2)  9 Tm 3.44-3.76, 2 Y 3.54
Tm1 0.0003 0.2639 0.5105 (multiplicity 2)  2 Ni 2.74-2.75
Tm2 0.4978 0.5036 0.1921 (multiplicity 2)  1 Ni 2.80, 1 Tm 3.09
Tm3 0.4993 0.1440 0.8390 (multiplicity 2)  4 Tm 3.09-3.30, 2 Y 3.44
Ni1 0.5000 0.5000 0.5000 (multiplicity 1)  6 Tm 2.74-2.80



Density functional theory data (GGA-PBE) for a relaxed structure of Y3TmNi2.

Values from the calculation:
N(E_F) = 7.1 states/eV/f.u.
crystal system = monoclinic
size of the total moment = 0.000 μB/cell

a b c (Å): 16.1531 3.8611 11.3462
angles (deg): 90.00 123.18 90.00
With the nearest neighbours (Å) after each atom.
Space group C2/m (No. 12)
Asymmetric unit:
Y1 0.0814 0.0000 0.4380 (multiplicity 4)  3 Ni 2.81-2.94
Y2 0.0808 0.0000 0.9411 (multiplicity 4)  3 Ni 2.81-2.98
Y3 0.1549 0.5000 0.7454 (multiplicity 4)  4 Ni 2.80-3.08
Tm1 0.1571 0.5000 0.2484 (multiplicity 4)  4 Ni 2.77-3.08
Ni1 0.2314 0.5000 0.0497 (multiplicity 4)  2 Ni 2.47
Ni2 0.2323 0.5000 0.5501 (multiplicity 4)  2 Ni 2.46



Density functional theory data (GGA-PBE) for a relaxed structure of Y3Tm4Ni4.

Values from the calculation:
N(E_F) = 11.5 states/eV/f.u.
crystal system = orthorhombic
size of the total moment = 0.000 μB/cell

a b c (Å): 3.6722 8.6516 15.7093
angles (deg): 90.00 90.00 90.00
With the nearest neighbours (Å) after each atom.
Space group Immm (No. 71)
Asymmetric unit:
Y1 0.0000 0.0000 0.0000 (multiplicity 2)  4 Ni 3.15
Y2 0.0000 0.5000 0.1016 (multiplicity 4)  6 Ni 2.98-3.00, 1 Y 3.19
Tm1 0.0000 0.3141 0.3340 (multiplicity 8)  4 Ni 2.77-3.03
Ni1 0.0000 0.0000 0.2493 (multiplicity 4)  6 Tm 2.77-3.03, 2 Y 2.98
Ni2 0.0000 0.2037 0.5000 (multiplicity 4)  2 Tm 2.78, 4 Y 3.00



Density functional theory data (GGA-PBE) for a relaxed structure of YTm3Ni8.

Values from the calculation:
N(E_F) = 8.2 states/eV/f.u.
crystal system = trigonal
size of the total moment = 0.000 μB/cell

a b c (Å): 5.0581 5.0581 8.2100
angles (deg): 90.00 90.00 120.00
With the nearest neighbours (Å) after each atom.
Space group P3m1 (No. 156)
Asymmetric unit:
Y1 0.0000 0.0000 0.0000 (multiplicity 1)  12 Ni 2.96-2.98, 4 Tm 3.08-3.11
Tm1 0.0000 0.0000 0.3754 (multiplicity 1)  12 Ni 2.93-2.96, 1 Y 3.08, 3 Tm 3.09
Tm2 0.6667 0.3333 0.4983 (multiplicity 1)  12 Ni 2.94-2.97, 4 Tm 3.06-3.09
Tm3 0.6667 0.3333 0.8712 (multiplicity 1)  12 Ni 2.96-2.98, 1 Tm 3.06, 3 Y 3.11
Ni1 0.9997 0.4998 0.1874 (multiplicity 3)  6 Ni 2.50-2.53
Ni2 0.1672 0.3343 0.6844 (multiplicity 3)  6 Ni 2.51-2.54
Ni3 0.3333 0.6667 0.4349 (multiplicity 1)  6 Ni 2.50-2.51
Ni4 0.3333 0.6667 0.9352 (multiplicity 1)  6 Ni 2.52-2.53



Density functional theory data (GGA-PBE) for a relaxed structure of YTmNi4.

Values from the calculation:
N(E_F) = 3.4 states/eV/f.u.
crystal system = cubic
size of the total moment = 0.000 μB/cell

a b c (Å): 7.1463 7.1463 7.1463
angles (deg): 90.00 90.00 90.00
With the nearest neighbours (Å) after each atom.
Space group F-43m (No. 216)
Asymmetric unit:
Y1 0.0000 0.0000 0.0000 (multiplicity 4)  12 Ni 2.96, 4 Tm 3.09
Tm1 0.2500 0.2500 0.7500 (multiplicity 4)  12 Ni 2.96, 4 Y 3.09
Ni1 0.1246 0.1246 0.3754 (multiplicity 16)  6 Ni 2.52-2.54



Density functional theory data (GGA-PBE) for a relaxed structure of Y3Tm3Ni4.

Values from the calculation:
N(E_F) = 8.0 states/eV/f.u.
crystal system = orthorhombic
size of the total moment = 0.000 μB/cell

a b c (Å): 3.9500 10.4916 10.4605
angles (deg): 90.00 90.00 90.00
With the nearest neighbours (Å) after each atom.
Space group Amm2 (No. 38)
Asymmetric unit:
Y1 0.0000 0.0000 0.0000 (multiplicity 2)  6 Ni 2.95-2.96
Y2 0.0000 0.1659 0.6644 (multiplicity 4)  6 Ni 2.94-2.96
Tm1 0.0000 0.0000 0.3311 (multiplicity 2)  6 Ni 2.90-2.91
Tm2 0.5000 0.2490 0.4143 (multiplicity 4)  4 Ni 2.89-2.98
Ni1 0.5000 0.0000 0.5347 (multiplicity 2)  1 Ni 2.67, 4 Tm 2.90, 4 Y 2.96
Ni2 0.5000 0.0000 0.7894 (multiplicity 2)  1 Ni 2.67, 6 Y 2.94-2.96, 2 Tm 2.94
Ni3 0.5000 0.1236 0.1685 (multiplicity 4)  1 Ni 2.59, 1 Tm 2.89



| no. | final energy (eV/cell) | volume (Å³ per cell) |
| --- | --- | --- |
| 1 | -44.60 | 270 |
| 2 | -148.81 | 592 |
| 3 | -126.48 | 499 |
| 4 | -71.60 | 182 |
| 5 | -147.22 | 365 |
| 6 | -118.75 | 434 |